(1)
Density functional theory data (PBE) for CdSn2Te2F2 after structural relaxation.

Computed properties:
- Total energy: -26.368 eV for the cell shown
- Mass density: 6.29 g/cm³
- Space group: P-4m2, No. 115

a = 4.150 Å, b = 4.150 Å, c = 9.849 Å
α = 90.00°, β = 90.00°, γ = 90.00°
Atoms (fractional coordinates):
Cd 0.000 0.000 0.000
Sn 0.000 0.500 0.353
Sn 0.500 0.000 0.647
Te 0.000 0.500 0.803
Te 0.500 0.000 0.197
F 0.000 0.000 0.500
F 0.500 0.500 0.500



(2)
Density functional theory data (PBE) for Nb5PbSe8 after structural relaxation.

Computed properties:
- Total energy: -92.722 eV for the cell shown
- Mass density: 7.33 g/cm³
- Space group: C2/m, No. 12

a = 9.483 Å, b = 9.483 Å, c = 9.424 Å
α = 103.26°, β = 103.26°, γ = 21.00°
Atoms (fractional coordinates):
Nb 0.000 0.000 0.000
Nb 0.288 0.288 0.631
Nb 0.359 0.359 0.999
Nb 0.641 0.641 0.001
Nb 0.712 0.712 0.369
Pb 0.500 0.500 0.500
Se 0.084 0.084 0.808
Se 0.150 0.150 0.509
Se 0.242 0.242 0.160
Se 0.430 0.430 0.799
Se 0.570 0.570 0.201
Se 0.758 0.758 0.840
Se 0.850 0.850 0.491
Se 0.916 0.916 0.192



(3)
Density functional theory data (PBE) for AcTb after structural relaxation.

Computed properties:
- Mass density: 7.71 g/cm³
- Space group: Fm-3m, No. 225
- Formation enthalpy at 0 K: 0.7621 eV per atom

a = 4.899 Å, b = 4.899 Å, c = 4.899 Å
α = 60.00°, β = 60.00°, γ = 60.00°
Atoms (fractional coordinates):
Ac 0.000 0.000 0.000
Tb 0.500 0.500 0.500